Entry 1:
LaCr2Mo PBE optimized geometry; SG = No. 99; excess energy over the best structure of this formula in the dataset = 41 meV per atom; uncorrected energy = -8.282 eV/atom; ρ = 7.84 g/cm³
1.0
3.057 0.000 0.000
0.000 3.057 0.000
0.000 0.000 7.676
La Cr Mo
1 2 1
Direct
0.000 0.000 0.000
0.000 0.000 0.505
0.500 0.500 0.677
0.500 0.500 0.318

---

Entry 2:
LiErZn2Ag5 PBE optimized geometry; SG = No. 123; uncorrected energy = -2.640 eV/atom; ρ = 7.79 g/cm³
1.0
4.284 0.000 0.000
0.000 4.284 0.000
0.000 0.000 9.806
Li Er Zn Ag
1 1 2 5
Direct
0.000 0.000 0.000
0.000 0.000 0.500
0.500 0.500 0.122
0.500 0.500 0.878
0.000 0.500 0.279
0.000 0.500 0.721
0.500 0.000 0.279
0.500 0.000 0.721
0.500 0.500 0.500

---

Entry 3:
TlCu6Au6 PBE optimized geometry; SG = No. 71; uncorrected energy = -3.569 eV/atom; ρ = 13.93 g/cm³
1.0
-2.604 4.469 4.525
2.604 -4.469 4.525
2.604 4.469 -4.525
Tl Cu Au
1 6 6
Direct
0.000 0.000 0.000
0.000 0.000 0.500
0.000 0.500 0.000
0.240 0.740 0.500
0.500 0.000 0.000
0.500 0.500 0.500
0.760 0.260 0.500
0.186 0.500 0.686
0.339 0.339 0.000
0.342 0.000 0.342
0.658 0.000 0.658
0.661 0.661 0.000
0.814 0.500 0.314

---

Entry 4:
PuSc14Pa PBE optimized geometry; SG = No. 38; uncorrected energy = -6.999 eV/atom; ρ = 4.69 g/cm³
1.0
10.386 0.000 0.000
0.000 3.264 5.762
0.000 -3.264 5.762
Pu Sc Pa
1 14 1
Direct
0.000 0.000 0.000
0.000 0.000 0.504
0.000 0.504 0.000
0.250 0.660 0.660
0.251 0.161 0.161
0.252 0.163 0.660
0.252 0.660 0.163
0.500 0.496 0.496
0.500 0.496 0.997
0.500 0.996 0.996
0.500 0.997 0.496
0.748 0.163 0.660
0.748 0.660 0.163
0.749 0.161 0.161
0.750 0.660 0.660
0.000 0.500 0.500

---

Entry 5:
KLa2Rh PBE optimized geometry; SG = No. 216; excess energy over the best structure of this formula in the dataset = 781 meV per atom; uncorrected energy = -4.172 eV/atom; ρ = 6.28 g/cm³
1.0
0.000 3.814 3.814
3.814 0.000 3.814
3.814 3.814 0.000
K La Rh
1 2 1
Direct
0.000 0.000 0.000
0.250 0.250 0.250
0.500 0.500 0.500
0.750 0.750 0.750

---

In order of appearance, density of states at the Fermi level = 4.2; 3.1; 4.2; 27.3; 5.3 states/eV per cell.
In order of appearance, formation energy = 0.47; -0.05; 0.02; 0.03; 0.40 eV/atom.